CaH3Au: relaxed, PBE.

Cell and atoms, written as extended XYZ:
```
10
Lattice="-1.806 -0.274 -3.244 4.216 -2.535 -2.133 -2.674 -6.138 2.008" Properties=species:S:1:pos:R:3 pbc="T T T"
Au -0.954 -5.576 -0.065
Au 0.690 -3.371 -3.303
H -2.462 -5.990 0.809
H 2.198 -2.958 -4.178
Ca 0.426 -7.085 -2.842
H 0.353 -6.362 -0.727
H -1.550 -3.897 0.125
H -0.617 -2.586 -2.642
H 1.287 -5.050 -3.494
Ca -0.689 -1.862 -0.527
```

Calculated values
DFT total energy   -3.328 eV per atom
Spin magnetization   0.0 μB per formula unit

DyErSiSe: relaxed, PBE.

Cell and atoms, written as extended XYZ:
```
4
Lattice="4.083 0.000 0.000 2.041 3.536 0.000 2.041 1.179 6.765" Properties=species:S:1:pos:R:3 pbc="T T T"
Dy 4.083 2.357 4.418
Se 6.124 3.536 6.225
Er 6.124 3.536 1.230
Si 2.041 1.179 2.811
```

Calculated values
ΔE_f (raw)   -1.2897 eV per atom
Spin magnetization   0.0 μB per formula unit

TbMg2ZnSn2: relaxed, PBE.

Cell and atoms, written as extended XYZ:
```
12
Lattice="-0.515 -0.837 4.481 -3.354 -6.201 -1.544 7.595 -4.132 0.100" Properties=species:S:1:pos:R:3 pbc="T T T"
Sn -1.243 -5.310 -1.135
Sn 5.512 -4.973 -0.296
Tb 2.391 -5.294 -0.714
Sn 1.498 -3.569 1.853
Zn 4.218 -4.268 2.035
Zn 0.003 -5.988 1.230
Mg 0.324 -0.848 2.227
Mg 3.605 -8.689 -1.209
Tb 0.190 -8.109 -1.493
Mg 4.985 -7.397 1.539
Mg 0.044 -2.738 -0.506
Sn 2.070 -7.893 1.111
```

Calculated values
Formation energy   -0.3186 eV per atom
Spin magnetization   0.0 μB per formula unit

LiCaLaTe2: relaxed, PBE.

Cell and atoms, written as extended XYZ:
```
5
Lattice="5.438 0.000 0.000 0.000 4.951 0.000 0.000 0.000 5.438" Properties=species:S:1:pos:R:3 pbc="T T T"
Te 0.000 0.000 2.719
Te 2.719 0.000 0.000
La 0.000 2.475 0.000
Ca 2.719 2.475 2.719
Li 0.000 0.000 0.000
```

Calculated values
ΔE_f (raw)   -0.4995 eV per atom
Spin magnetization   1.3 μB per formula unit

TbSiPt6: relaxed, PBE.

Cell and atoms, written as extended XYZ:
```
8
Lattice="-4.241 -2.465 -2.358 -2.296 -4.327 2.372 -6.074 1.491 3.084" Properties=species:S:1:pos:R:3 pbc="T T T"
Pt -4.254 -1.331 -0.301
Pt -10.424 -5.172 2.250
Pt -8.357 -3.971 3.399
Pt -9.305 -3.064 1.094
Tb -6.305 -2.651 1.549
Pt -3.306 -2.238 2.004
Si 0.000 0.000 0.000
Pt -2.187 -0.129 0.848
```

Calculated values
ΔE to the lowest computed polymorph   111 meV/atom
ΔE_f (raw)   -0.5447 eV per atom
Spin magnetization   0.0 μB per formula unit

SrVPdW2: relaxed, PBE.

Cell and atoms, written as extended XYZ:
```
5
Lattice="4.922 0.000 0.000 0.000 4.762 0.000 0.000 0.000 4.922" Properties=species:S:1:pos:R:3 pbc="T T T"
W 2.461 0.000 0.000
Sr 2.461 2.381 2.461
Pd 0.000 0.000 0.000
V 0.000 2.381 0.000
W 0.000 0.000 2.461
```

Calculated values
Formation energy   1.7457 eV per atom
Spin magnetization   1.5 μB per formula unit

TbDy2Ho2In: relaxed, PBE.

Cell and atoms, written as extended XYZ:
```
12
Lattice="5.310 0.000 0.000 0.000 9.953 0.000 0.000 0.000 6.667" Properties=species:S:1:pos:R:3 pbc="T T T"
Tb 2.655 4.977 0.000
In 2.655 4.977 3.334
Ho 2.655 8.357 5.062
In 0.000 0.000 0.000
Ho 0.000 3.380 4.939
Dy 2.655 1.629 5.047
Ho 2.655 1.597 1.605
Tb 0.000 0.000 3.334
Dy 2.655 8.325 1.620
Dy 0.000 3.348 1.713
Ho 0.000 6.573 1.728
Dy 0.000 6.605 4.954
```

Calculated values
Formation energy   -0.0313 eV per atom
Spin magnetization   0.0 μB per formula unit

La2CdPbSe5: relaxed, PBE.

Cell and atoms, written as extended XYZ:
```
18
Lattice="-3.349 1.187 -2.402 -2.943 -7.891 4.032 -4.625 6.714 9.765" Properties=species:S:1:pos:R:3 pbc="T T T"
La -4.208 2.964 7.332
La -8.804 0.575 8.730
Se -8.570 -2.162 7.050
Se -0.780 -0.102 1.037
Se -8.139 -2.037 10.340
Se -7.248 3.509 8.011
La -2.595 0.137 3.686
Se -8.023 1.330 11.843
Se -4.465 -2.343 5.067
Se -5.773 0.379 8.236
Pb -6.730 -0.271 5.421
La -6.112 -3.818 2.806
Se -4.474 -1.340 1.747
Se -5.197 2.025 4.418
Se -2.981 2.343 1.485
Cd -6.302 -3.479 7.067
Pb -1.949 -2.966 1.252
Cd -6.577 6.339 8.473
```

Calculated values
ΔE_f (raw)   -1.3309 eV per atom
Spin magnetization   0.0 μB per formula unit

AgGeSbO5: relaxed, PBE.

Cell and atoms, written as extended XYZ:
```
16
Lattice="5.734 0.092 -0.078 -1.586 5.511 -0.078 -1.820 -2.458 6.760" Properties=species:S:1:pos:R:3 pbc="T T T"
O -0.799 3.502 4.076
O -2.164 1.658 5.908
Ge -0.666 1.976 4.992
Ge 2.995 1.169 1.612
O 4.492 1.487 0.696
O 0.723 2.004 6.103
O 3.127 -0.357 2.528
Sb 0.000 0.000 0.000
Ag 1.912 0.067 4.992
O 1.605 1.140 0.501
Sb -0.910 -1.229 3.380
O -0.288 0.639 3.881
O 2.616 2.506 2.723
O -1.475 4.478 1.612
O 3.804 -1.333 4.992
Ag 0.416 3.078 1.612
```

Calculated values
ΔE_f (raw)   -1.2214 eV per atom
Spin magnetization   0.0 μB per formula unit

MgGaSe2N: relaxed, PBE.

Cell and atoms, written as extended XYZ:
```
5
Lattice="5.236 0.000 0.000 0.000 5.236 0.000 0.000 0.000 4.007" Properties=species:S:1:pos:R:3 pbc="T T T"
Se 2.618 0.000 0.000
Ga 2.618 2.618 2.004
N 0.000 0.000 2.004
Se 0.000 2.618 0.000
Mg 0.000 0.000 0.000
```

Calculated values
ΔE to the lowest computed polymorph   279 meV/atom
ΔE_f (raw)   0.5596 eV per atom
Spin magnetization   2.4 μB per formula unit

Ho2ZrAg: relaxed, PBE.

Cell and atoms, written as extended XYZ:
```
4
Lattice="3.230 0.000 0.000 1.615 2.797 0.000 1.615 0.932 11.354" Properties=species:S:1:pos:R:3 pbc="T T T"
Ag 3.230 1.865 5.677
Zr 0.000 0.000 0.000
Ho 1.615 0.932 8.202
Ho 4.845 2.797 3.152
```

Calculated values
ΔE to the lowest computed polymorph   399 meV/atom
Formation energy   0.2705 eV per atom
Spin magnetization   0.0 μB per formula unit

InGaHBr2: relaxed, PBE.

Cell and atoms, written as extended XYZ:
```
5
Lattice="-5.225 -1.919 -1.354 -1.214 -0.620 5.564 -1.304 3.478 0.103" Properties=species:S:1:pos:R:3 pbc="T T T"
Ga 0.000 0.000 0.000
H -0.652 1.739 0.052
In -3.872 0.469 2.157
Br -0.607 -0.310 2.782
Br -2.613 -0.960 -0.677
```

Calculated values
DFT total energy   -2.857 eV per atom
Spin magnetization   0.0 μB per formula unit